{"formula": "SbTe3Se", "functional": "PBE", "state": "optimized geometry", "de_polymorph_kj_per_mol_fu": 123, "energy_ev_per_atom": -2.622, "formation_energy_uncorrected_kj_per_mol_atoms": 76, "lattice": [[5.730, 0.000, 0.000], [0.000, 5.730, 0.000], [0.000, 0.000, 5.730]], "species": ["Sb", "Te", "Te", "Te", "Se"], "fractional_positions": [[0.000, 0.000, 0.000], [0.000, 0.500, 0.000], [0.000, 0.000, 0.500], [0.500, 0.000, 0.000], [0.500, 0.500, 0.500]]}

{"formula": "NaTl2Bi2", "functional": "PBE", "state": "optimized geometry", "delta_e_f_ev_per_atom": -0.068, "de_polymorph_kj_per_mol_fu": 32, "energy_ev_per_atom": -2.831, "lattice": [[3.423, 0.000, 0.000], [0.000, 5.747, 0.057], [0.000, -2.460, 8.131]], "species": ["Na", "Tl", "Tl", "Bi", "Bi"], "fractional_positions": [[0.000, 0.000, 0.000], [0.500, 0.381, 0.785], [0.500, 0.619, 0.215], [0.000, 0.791, 0.599], [0.000, 0.209, 0.401]]}

{"formula": "Y2PtS2", "functional": "PBE", "state": "optimized geometry", "de_polymorph_kj_per_mol_fu": 0, "energy_ev_per_atom": -6.853, "formation_energy_uncorrected_kj_per_mol_atoms": -136, "lattice": [[-0.147, -3.345, 4.196], [2.340, -3.817, -2.961], [4.637, -2.300, 1.763]], "species": ["Y", "Y", "S", "S", "Pt"], "fractional_positions": [[0.750, 0.250, 0.500], [0.250, 0.750, 0.500], [0.295, 0.295, 0.409], [0.705, 0.705, 0.591], [0.000, 0.000, 0.000]]}

{"formula": "Tl2InGaH", "functional": "PBE", "state": "optimized geometry", "de_polymorph_kj_per_mol_fu": 0, "energy_ev_per_atom": -2.579, "lattice": [[5.799, 0.000, 0.000], [0.000, 5.799, 0.000], [0.000, 0.000, 3.474]], "species": ["H", "Tl", "Tl", "Ga", "In"], "fractional_positions": [[0.000, 0.000, 0.500], [0.000, 0.500, 0.000], [0.500, 0.000, 0.000], [0.000, 0.000, 0.000], [0.500, 0.500, 0.500]]}

{"formula": "Co2HgBi2", "functional": "PBE", "state": "optimized geometry", "delta_e_f_ev_per_atom": 0.477, "de_polymorph_kj_per_mol_fu": 119, "energy_ev_per_atom": -3.979, "lattice": [[-4.470, -1.706, -2.296], [2.859, -2.795, -3.490], [-0.869, -5.269, -0.527]], "species": ["Co", "Co", "Bi", "Bi", "Hg"], "fractional_positions": [[0.359, 0.359, 0.283], [0.641, 0.641, 0.717], [0.750, 0.250, 0.500], [0.250, 0.750, 0.500], [0.000, 0.000, 0.000]]}

{"formula": "Pm8InSb5", "functional": "PBE", "state": "optimized geometry", "energy_ev_per_atom": -5.332, "formation_energy_uncorrected_kj_per_mol_atoms": -92, "lattice": [[1.494, 5.805, -5.591], [-3.407, -6.504, -3.643], [-5.119, 2.957, 5.678]], "species": ["Pm", "Pm", "Pm", "Pm", "Pm", "Pm", "Pm", "Pm", "In", "Sb", "Sb", "Sb", "Sb", "Sb"], "fractional_positions": [[0.126, 0.755, 0.019], [0.981, 0.107, 0.735], [0.765, 0.248, 0.372], [0.628, 0.393, 0.876], [0.483, 0.607, 0.235], [0.629, 0.893, 0.874], [0.265, 0.245, 0.371], [0.124, 0.752, 0.517], [0.250, 0.500, 0.750], [0.001, 0.377, 0.127], [0.873, 0.874, 0.250], [0.750, 0.623, 0.624], [0.500, 0.000, 0.500], [0.376, 0.126, 0.999]]}

{"formula": "Li3Cd2Ga4", "functional": "PBE", "state": "optimized geometry", "delta_e_f_ev_per_atom": -0.206, "energy_ev_per_atom": -2.392, "lattice": [[6.112, 0.000, 0.001], [0.001, 6.876, 3.986], [0.000, 0.022, 7.948]], "species": ["Li", "Li", "Li", "Li", "Li", "Li", "Cd", "Cd", "Cd", "Cd", "Ga", "Ga", "Ga", "Ga", "Ga", "Ga", "Ga", "Ga"], "fractional_positions": [[0.750, 0.167, 0.167], [0.750, 0.833, 0.833], [0.250, 0.833, 0.833], [0.250, 0.167, 0.167], [0.250, 0.500, 0.500], [0.750, 0.500, 0.500], [0.501, 0.177, 0.500], [0.999, 0.500, 0.823], [0.499, 0.823, 0.500], [0.001, 0.500, 0.177], [0.500, 0.831, 0.157], [0.000, 0.843, 0.169], [0.500, 0.169, 0.843], [0.000, 0.157, 0.831], [0.001, 0.155, 0.511], [0.499, 0.489, 0.845], [0.999, 0.845, 0.489], [0.501, 0.511, 0.155]]}

{"formula": "ZnBi2Ir", "functional": "PBE", "state": "optimized geometry", "delta_e_f_ev_per_atom": 0.441, "energy_ev_per_atom": -4.034, "lattice": [[-1.416, -5.720, 2.292], [5.261, -2.346, -2.606], [5.074, -2.733, 5.034]], "species": ["Zn", "Zn", "Ir", "Ir", "Bi", "Bi", "Bi", "Bi"], "fractional_positions": [[0.500, 0.500, 0.000], [0.250, 0.750, 0.500], [0.000, 0.000, 0.000], [0.750, 0.250, 0.500], [0.647, 0.125, 0.250], [0.103, 0.625, 0.250], [0.375, 0.353, 0.750], [0.875, 0.897, 0.750]]}